Record 1
Here is a geometry-optimized Ca2PrTcO6 structure from Alexandria via LeMat-Bulk. Energies are from PBE. Values from VASP.

Geometry as Quantum ESPRESSO input:
```
&SYSTEM
  ibrav = 0, nat = 10, ntyp = 4
/
ATOMIC_SPECIES
Ca 40.08 Ca.upf
Pr 140.91 Pr.upf
Tc 98.00 Tc.upf
O 16.00 O.upf
ATOMIC_POSITIONS crystal
Ca 0.9720 0.5000 0.0000
Ca 0.9720 0.0000 0.5000
Pr 0.5700 0.5000 0.5000
Tc 0.5880 0.0000 0.0000
O 0.7369 0.2266 0.2266
O 0.7369 0.2266 0.7734
O 0.1429 0.5000 0.5000
O 0.2541 0.0000 0.0000
O 0.7369 0.7734 0.7734
O 0.7369 0.7734 0.2266
CELL_PARAMETERS angstrom
-1.8363 -4.8338 -0.6439
2.7939 -0.4130 -4.8679
4.4647 -2.0607 2.7373
```

Summary:
energy = -7.26 eV/atom
symmetry = P4mm (99)


Record 2
Here is a geometry-optimized Zr2MoBr structure from Alexandria via LeMat-Bulk. Energies are from PBE. Values from VASP.

Geometry as Quantum ESPRESSO input:
```
&SYSTEM
  ibrav = 0, nat = 4, ntyp = 3
/
ATOMIC_SPECIES
Mo 95.94 Mo.upf
Br 79.90 Br.upf
Zr 91.22 Zr.upf
ATOMIC_POSITIONS crystal
Mo 0.5000 0.5000 0.7721
Br 0.0000 0.0000 0.4882
Zr 0.0000 0.0000 0.9838
Zr 0.5000 0.5000 0.2560
CELL_PARAMETERS angstrom
3.1738 -0.0092 0.0000
-1.3225 2.8852 0.0000
0.0000 0.0000 9.4204
```

Summary:
excess energy over the best structure of this formula in the dataset = 519 meV/atom
energy = -7.22 eV/atom
symmetry = Cmm2 (35)


Record 3
Here is a geometry-optimized MnCdTe2 structure from Alexandria via LeMat-Bulk. Energies are from PBE. Values from VASP.

Geometry as Quantum ESPRESSO input:
```
&SYSTEM
  ibrav = 0, nat = 4, ntyp = 3
/
ATOMIC_SPECIES
Cd 112.41 Cd.upf
Mn 54.94 Mn.upf
Te 127.60 Te.upf
ATOMIC_POSITIONS crystal
Cd 0.0000 0.0000 0.5581
Mn 0.5000 0.5000 0.7582
Te 0.0000 0.0000 0.9131
Te 0.5000 0.5000 0.2707
CELL_PARAMETERS angstrom
3.2439 0.0000 0.0000
0.0000 3.2439 0.0000
0.0000 0.0000 9.2239
```

Summary:
energy = -3.93 eV/atom
symmetry = P4mm (99)


Record 4
Here is a geometry-optimized Al8Zn2Tc structure from Alexandria via LeMat-Bulk. Energies are from PBE. Values from VASP.

Geometry as Quantum ESPRESSO input:
```
&SYSTEM
  ibrav = 0, nat = 11, ntyp = 3
/
ATOMIC_SPECIES
Al 26.98 Al.upf
Zn 65.41 Zn.upf
Tc 98.00 Tc.upf
ATOMIC_POSITIONS crystal
Al 0.4207 0.4648 0.8415
Al 0.6524 0.0991 0.3048
Al 0.7525 0.6874 0.5049
Al 0.9774 0.2183 0.9547
Al 0.2475 0.3126 0.4951
Al 0.3476 0.9009 0.6952
Al 0.5793 0.5352 0.1585
Al 0.0226 0.7817 0.0453
Zn 0.8242 0.2582 0.6485
Zn 0.1758 0.7418 0.3515
Tc 0.5000 0.0000 0.0000
CELL_PARAMETERS angstrom
4.5209 0.0000 0.0000
0.0000 4.9887 -0.1111
-2.2604 -2.2934 8.2693
```

Summary:
formation energy = -62 meV per atom
energy = -3.96 eV/atom
symmetry = C2/m (12)


Record 5
Here is a geometry-optimized YMnP2 structure from Alexandria via LeMat-Bulk. Energies are from PBE. Values from VASP.

Geometry as Quantum ESPRESSO input:
```
&SYSTEM
  ibrav = 0, nat = 4, ntyp = 3
/
ATOMIC_SPECIES
Y 88.91 Y.upf
Mn 54.94 Mn.upf
P 30.97 P.upf
ATOMIC_POSITIONS crystal
Y 0.5000 0.5000 0.5000
Mn 0.5000 0.5000 0.0000
P 0.0000 0.0000 0.2105
P 0.0000 0.0000 0.7895
CELL_PARAMETERS angstrom
1.9656 -2.8244 0.0000
1.9656 2.8244 0.0000
0.0000 0.0000 6.5441
```

Summary:
excess energy over the best structure of this formula in the dataset = 317 meV/atom
formation energy = -510 meV per atom
energy = -7.12 eV/atom
symmetry = Cmmm (65)


Record 6
Here is a geometry-optimized Ca3YTc structure from Alexandria via LeMat-Bulk. Energies are from PBE. Values from VASP.

Geometry as Quantum ESPRESSO input:
```
&SYSTEM
  ibrav = 0, nat = 5, ntyp = 3
/
ATOMIC_SPECIES
Y 88.91 Y.upf
Ca 40.08 Ca.upf
Tc 98.00 Tc.upf
ATOMIC_POSITIONS crystal
Y 0.5000 0.5000 0.5000
Ca 0.0000 0.5000 0.0000
Ca 0.0000 0.0000 0.5000
Ca 0.5000 0.0000 0.0000
Tc 0.0000 0.0000 0.0000
CELL_PARAMETERS angstrom
5.4855 0.0000 0.0000
0.0000 5.4855 0.0000
0.0000 0.0000 5.4855
```

Summary:
formation energy = 609 meV per atom
energy = -3.96 eV/atom
symmetry = Pm-3m (221)


Record 7
Here is a geometry-optimized SrTaZn structure from Alexandria via LeMat-Bulk. Energies are from PBE. Values from VASP.

Geometry as Quantum ESPRESSO input:
```
&SYSTEM
  ibrav = 0, nat = 3, ntyp = 3
/
ATOMIC_SPECIES
Sr 87.62 Sr.upf
Ta 180.95 Ta.upf
Zn 65.41 Zn.upf
ATOMIC_POSITIONS crystal
Sr 0.0000 0.0000 0.0001
Ta 0.6667 0.3333 0.5008
Zn 0.3333 0.6667 0.4991
CELL_PARAMETERS angstrom
5.0446 0.0000 0.0000
-2.5223 4.3688 0.0000
0.0000 0.0000 3.1437
```

Summary:
excess energy over the best structure of this formula in the dataset = 283 meV/atom
formation energy = 775 meV per atom
energy = -4.16 eV/atom
symmetry = P-6m2 (187)


Record 8
Here is a geometry-optimized MgSbTe2N structure from Alexandria via LeMat-Bulk. Energies are from PBE. Values from VASP.

Geometry as Quantum ESPRESSO input:
```
&SYSTEM
  ibrav = 0, nat = 5, ntyp = 4
/
ATOMIC_SPECIES
Sb 121.76 Sb.upf
Mg 24.30 Mg.upf
Te 127.60 Te.upf
N 14.01 N.upf
ATOMIC_POSITIONS crystal
Sb 0.0000 0.0000 0.5000
Mg 0.0000 0.0000 0.0000
Te 0.0000 0.5000 0.0000
Te 0.5000 0.0000 0.0000
N 0.5000 0.5000 0.5000
CELL_PARAMETERS angstrom
-1.8184 -2.2889 -4.6392
1.7978 -4.8906 1.7082
-4.8017 -0.9449 2.3483
```

Summary:
excess energy over the best structure of this formula in the dataset = 834 meV/atom
energy = -2.75 eV/atom
symmetry = P4/mmm (123)